SCAN CaF3, single point on PBEsol structure; formation energy (no corrections) = -11.755 eV per formula unit; total DFT energy (no corrections) = -8.01 eV per atom
1.0
3.9290 0.0000 0.0000
-1.9645 3.4026 0.0000
0.0000 0.0000 7.3254
Ca F
2 6
direct
0.6667 0.3333 0.7500
0.3333 0.6667 0.2500
0.3333 0.6667 0.9326
0.6667 0.3333 0.4326
0.0000 0.0000 0.2500
0.0000 0.0000 0.7500
0.3333 0.6667 0.5674
0.6667 0.3333 0.0674